# Li3MgIn PBE optimized geometry
# * density of states at the Fermi level: 3.239 states/eV/cell
# * total magnetization: 0.0000 μB/atom
# * energy above the lowest structure with this stoichiometry: 386.7 meV per atom
# * formation energy: 23.4 kJ/mol of atoms
data_Li3MgIn
_cell_length_a 5.0790
_cell_length_b 5.0790
_cell_length_c 5.0790
_cell_angle_alpha 90.00
_cell_angle_beta 90.00
_cell_angle_gamma 90.00
_space_group_name_H-M_alt 'P m -3 m'
_space_group_IT_number 221
_space_group_name_Hall '-P 4 2 3'
loop_
_atom_site_label
_atom_site_type_symbol
_atom_site_fract_x
_atom_site_fract_y
_atom_site_fract_z
Li1 Li 0.0000 0.0000 0.5000
Mg1 Mg 0.5000 0.5000 0.5000
In1 In 0.0000 0.0000 0.0000